(1)
Tb4SiS3 after structural relaxation, computed with PBE.

The value obtained for the volume is 22.35 Å³/atom. Its crystal system is cubic. The formation energy (no corrections) is -1755 meV per atom.

a b c (Å): 5.6339 5.6339 5.6339
angles (deg): 90.00 90.00 90.00
Sites, in units of the cell vectors:
Tb 0.5000 0.5000 0.5000
Tb 0.5000 0.0000 0.0000
Tb 0.0000 0.5000 0.0000
Tb 0.0000 0.0000 0.5000
S 0.5000 0.5000 0.0000
S 0.5000 0.0000 0.5000
S 0.0000 0.5000 0.5000
Si 0.0000 0.0000 0.0000

(2)
Tb2Nd3N4 after structural relaxation, computed with PBE.

The value obtained for the volume is 18.51 Å³/atom. Its crystal system is monoclinic. The formation energy (no corrections) is -1315 meV per atom.

a b c (Å): 3.5785 3.5785 15.0239
angles (deg): 90.06 89.94 119.99
Sites, in units of the cell vectors:
Tb 0.6671 0.3329 0.8105
Tb 0.3329 0.6671 0.1895
Nd 0.6657 0.3343 0.3796
Nd 0.3343 0.6657 0.6204
Nd 0.0000 0.0000 0.0000
N 0.3336 0.6664 0.8958
N 0.6664 0.3336 0.1042
N 0.0008 0.9992 0.7060
N 0.9992 0.0008 0.2940

(3)
TeRu after structural relaxation, computed with PBE.

The value obtained for the volume is 25.24 Å³/atom. Its crystal system is orthorhombic. The formation energy (no corrections) is 240 meV per atom.

a b c (Å): 3.8520 5.8308 13.4843
angles (deg): 90.00 90.00 90.00
Sites, in units of the cell vectors:
Te 0.0000 0.7556 0.1507
Te 0.5000 0.2444 0.6507
Te 0.5000 0.2039 0.0000
Te 0.0000 0.7556 0.8493
Te 0.5000 0.2444 0.3493
Te 0.0000 0.7961 0.5000
Ru 0.5000 0.5161 0.5000
Ru 0.5000 0.0411 0.8261
Ru 0.0000 0.4839 0.0000
Ru 0.5000 0.0411 0.1739
Ru 0.0000 0.9590 0.3261
Ru 0.0000 0.9590 0.6739

(4)
Ni2PAu2 after structural relaxation, computed with PBE.

The value obtained for the volume is 14.68 Å³/atom. Its crystal system is tetragonal. As for the formation energy: -9.9 kJ/mol of formula units.

a b c (Å): 5.7849 5.7849 4.3860
angles (deg): 90.00 90.00 90.00
Sites, in units of the cell vectors:
Ni 0.6536 0.1536 0.0000
Ni 0.3464 0.8464 0.0000
Ni 0.1536 0.3464 0.0000
Ni 0.8464 0.6536 0.0000
Au 0.3325 0.1675 0.5000
Au 0.8325 0.3325 0.5000
Au 0.1675 0.6675 0.5000
Au 0.6675 0.8325 0.5000
P 0.0000 0.0000 0.0000
P 0.5000 0.5000 0.0000

(5)
SrTb3Co after structural relaxation, computed with PBE.

The value obtained for the volume is 31.69 Å³/atom. Its crystal system is cubic. As for the formation energy: -7.1 kJ/mol of formula units.

a b c (Å): 5.4112 5.4112 5.4112
angles (deg): 90.00 90.00 90.00
Sites, in units of the cell vectors:
Sr 0.5000 0.5000 0.5000
Tb 0.5000 0.0000 0.0000
Tb 0.0000 0.0000 0.5000
Tb 0.0000 0.5000 0.0000
Co 0.0000 0.0000 0.0000

(6)
CaNb2Te4Cl10O after structural relaxation, computed with PBE.

The polymorph energy (0 for the lowest one) comes out at 0.000 eV per atom. The value obtained for the volume is 33.57 Å³/atom. Its crystal system is triclinic. The formation energy (no corrections) is -1200 meV per atom.

a b c (Å): 7.1901 8.9430 9.8550
angles (deg): 93.21 92.49 106.90
Sites, in units of the cell vectors:
Cl 0.4492 0.8218 0.1905
Cl 0.7902 0.8223 0.4387
Cl 0.6168 0.5005 0.1947
Cl 0.5550 0.1917 0.8171
Cl 0.7252 0.2418 0.4895
Cl 0.3568 0.4979 0.7857
Cl 0.2975 0.7517 0.5084
Cl 0.2242 0.1804 0.5514
Cl 0.8562 0.5534 0.7283
Cl 0.1568 0.4521 0.2815
Ca 0.0946 0.4448 0.5572
Te 0.0794 0.8179 0.9929
Te 0.1875 0.0864 0.1624
Te 0.8062 0.9250 0.8557
Te 0.9165 0.1942 0.0241
Nb 0.4993 0.6429 0.3568
Nb 0.5370 0.3651 0.6379
O 0.5092 0.5027 0.4988

(7)
Li3Cu2S3O12 after structural relaxation, computed with PBE.

The polymorph energy (0 for the lowest one) comes out at 0.013 eV per atom. The value obtained for the volume is 12.28 Å³/atom. Its crystal system is trigonal. The formation energy (no corrections) is -1429 meV per atom.

a b c (Å): 9.1816 9.1816 9.1816
angles (deg): 55.59 55.59 55.59
Sites, in units of the cell vectors:
O 0.7986 0.4363 0.8644
O 0.4363 0.8644 0.7986
O 0.4904 0.1556 0.5440
O 0.4097 0.9942 0.1919
O 0.9942 0.1919 0.4097
O 0.0058 0.8081 0.5903
O 0.1569 0.8575 0.2537
O 0.7463 0.8431 0.1425
O 0.1356 0.2014 0.5637
O 0.2014 0.5637 0.1356
O 0.8444 0.4560 0.5096
O 0.5903 0.0058 0.8081
O 0.5096 0.8444 0.4560
O 0.8575 0.2537 0.1569
O 0.1556 0.5440 0.4904
O 0.8431 0.1425 0.7463
O 0.1425 0.7463 0.8431
O 0.5440 0.4904 0.1556
O 0.4560 0.5096 0.8444
O 0.8081 0.5903 0.0058
O 0.1919 0.4097 0.9942
O 0.2537 0.1569 0.8575
O 0.8644 0.7986 0.4363
O 0.5637 0.1356 0.2014
Li 0.6598 0.2786 0.9220
Li 0.0780 0.3402 0.7214
Li 0.7214 0.0780 0.3402
Li 0.9220 0.6598 0.2786
Li 0.2786 0.9220 0.6598
Li 0.3402 0.7214 0.0780
Cu 0.3407 0.3407 0.3407
Cu 0.6593 0.6593 0.6593
Cu 0.8503 0.8503 0.8503
Cu 0.1497 0.1497 0.1497
S 0.5530 0.9516 0.2483
S 0.0484 0.7517 0.4470
S 0.4470 0.0484 0.7517
S 0.9516 0.2483 0.5530
S 0.2483 0.5530 0.9516
S 0.7517 0.4470 0.0484

(8)
Pu2MgRu after structural relaxation, computed with PBE.

The value obtained for the volume is 22.97 Å³/atom. Its crystal system is tetragonal. As for the formation energy: -26.2 kJ/mol of formula units.

a b c (Å): 3.2391 3.2391 8.7574
angles (deg): 90.00 90.00 90.00
Sites, in units of the cell vectors:
Pu 0.0000 0.0000 0.2038
Pu 0.0000 0.0000 0.7962
Mg 0.5000 0.5000 0.5000
Ru 0.5000 0.5000 0.0000

Number 1: M_tot 0.000 μB/atom. Number 2: M_tot 0.000 μB/atom. Number 3: M_tot 0.000 μB/atom. Number 4: M_tot 0.000 μB/atom. Number 5: M_tot 0.000 μB/atom. Number 6: M_tot 0.115 μB/atom. Number 7: M_tot 0.050 μB/atom. Number 8: M_tot 2.733 μB/atom.